# 1
A relaxed structure of BaNaSn2Te4. Source: Alexandria via LeMat-Bulk, functional GGA-PBE.

```
BaNaSn2Te4
1.0
-1.610 -3.245 -2.974
7.910 -0.189 -0.382
0.303 -10.775 11.592
Te Ba Sn Na
8 2 4 2
Direct
0.731 0.461 0.606
0.464 0.928 0.750
0.731 0.461 0.894
0.269 0.539 0.106
0.269 0.539 0.394
0.000 0.000 0.000
0.000 0.000 0.500
0.536 0.072 0.250
0.129 0.257 0.750
0.871 0.743 0.250
0.374 0.747 0.561
0.626 0.253 0.439
0.626 0.253 0.061
0.374 0.747 0.939
0.855 0.709 0.750
0.145 0.291 0.250
```

Values from the calculation:
The density of states at the Fermi level is 10.95 states/eV/cell. The space group is Cmcm. The formation energy without anion corrections is -0.6579 eV/atom. The calculation puts the uncorrected energy at -29.1 eV/f.u.

# 2
A relaxed structure of CdHgPS2. Source: Alexandria via LeMat-Bulk, functional GGA-PBE.

```
CdHgPS2
1.0
4.928 0.000 0.000
0.000 5.781 0.000
0.000 0.000 4.928
Hg P Cd S
1 1 1 2
Direct
0.000 0.500 0.000
0.500 0.500 0.500
0.000 0.000 0.000
0.000 0.000 0.500
0.500 0.000 0.000
```

Values from the calculation:
The density of states at the Fermi level is 8.26 states/eV/cell. The space group is P4/mmm. The formation energy without anion corrections is 0.9912 eV/atom. The calculation puts the uncorrected energy at -9.9 eV/f.u. The value obtained for the excess energy over the best structure of this formula in the dataset is 90 meV per atom.

# 3
A relaxed structure of LiSnSbS4. Source: Alexandria via LeMat-Bulk, functional GGA-PBE.

```
LiSnSbS4
1.0
7.898 0.000 0.000
3.949 6.697 0.128
3.949 2.162 6.340
S Sb Sn Li
8 2 2 2
Direct
0.766 0.736 0.732
0.234 0.768 0.764
0.770 0.252 0.752
0.234 0.264 0.268
0.230 0.748 0.248
0.775 0.748 0.248
0.766 0.232 0.236
0.225 0.252 0.752
0.000 0.000 0.500
0.500 0.000 0.500
0.000 0.500 0.500
0.000 0.000 0.000
0.632 0.618 0.118
0.368 0.382 0.882
```

Values from the calculation:
The density of states at the Fermi level is 3.27 states/eV/cell. The space group is Imma. The formation energy without anion corrections is -0.5321 eV/atom. The calculation puts the uncorrected energy at -30.3 eV/f.u.

# 4
A relaxed structure of Ca3CeHg4. Source: Alexandria via LeMat-Bulk, functional GGA-PBE.

```
Ca3CeHg4
1.0
-1.883 -0.906 4.955
3.150 -2.317 3.692
3.287 6.874 5.425
Hg Ca Ce
4 3 1
Direct
0.876 0.876 0.372
0.375 0.375 0.875
0.124 0.124 0.628
0.625 0.625 0.125
0.248 0.248 0.255
0.752 0.752 0.745
0.500 0.500 0.500
0.000 0.000 0.000
```

Values from the calculation:
The density of states at the Fermi level is 12.05 states/eV/cell. The space group is R-3m. The calculation puts the uncorrected energy at -17.1 eV/f.u.

# 5
A relaxed structure of Mn3NbPt4. Source: Alexandria via LeMat-Bulk, functional GGA-PBE.

```
Mn3NbPt4
1.0
4.784 0.000 0.000
0.000 5.628 0.000
0.000 0.000 9.125
Mn Pt Nb
6 8 2
Direct
0.000 0.000 0.500
0.375 0.500 0.250
0.625 0.500 0.750
0.367 0.000 0.250
0.633 0.000 0.750
0.000 0.000 0.000
0.500 0.753 0.500
0.865 0.246 0.250
0.135 0.754 0.750
0.135 0.246 0.750
0.865 0.754 0.250
0.500 0.247 0.500
0.500 0.753 0.000
0.500 0.247 0.000
0.000 0.500 0.000
0.000 0.500 0.500
```

Values from the calculation:
The density of states at the Fermi level is 10.47 states/eV/cell. The space group is Pmma. The calculation puts the uncorrected energy at -65.1 eV/f.u.

# 6
A relaxed structure of MnTcMo2. Source: Alexandria via LeMat-Bulk, functional GGA-PBE.

```
MnTcMo2
1.0
9.028 0.022 0.013
8.605 2.732 0.013
8.605 1.344 2.378
Mn Mo Tc
1 2 1
Direct
0.750 0.750 0.750
0.496 0.496 0.496
0.004 0.004 0.004
0.250 0.250 0.250
```

Values from the calculation:
The density of states at the Fermi level is 4.48 states/eV/cell. The space group is R-3m. The calculation puts the uncorrected energy at -40.0 eV/f.u. The value obtained for the excess energy over the best structure of this formula in the dataset is 228 meV per atom.

# 7
A relaxed structure of CaMgB14. Source: Alexandria via LeMat-Bulk, functional GGA-PBE.

```
CaMgB14
1.0
5.429 0.000 2.416
2.048 6.544 2.706
-0.028 0.042 7.372
B Ca Mg
28 2 2
Direct
0.098 0.221 0.899
0.583 0.246 0.589
0.137 0.240 0.487
0.598 0.399 0.721
0.329 0.377 0.468
0.835 0.192 0.138
0.171 0.032 0.123
0.218 0.779 0.101
0.902 0.779 0.101
0.829 0.968 0.877
0.718 0.601 0.279
0.165 0.808 0.862
0.675 0.032 0.123
0.417 0.754 0.411
0.175 0.623 0.532
0.402 0.601 0.279
0.637 0.987 0.740
0.863 0.760 0.513
0.825 0.377 0.468
0.665 0.362 0.308
0.671 0.623 0.532
0.363 0.013 0.260
0.282 0.399 0.721
0.083 0.089 0.746
0.917 0.911 0.254
0.782 0.221 0.899
0.335 0.638 0.692
0.325 0.968 0.877
0.750 0.611 0.889
0.250 0.389 0.111
0.000 0.000 0.500
0.500 0.000 0.500
```

Values from the calculation:
The space group is Imma. The calculation puts the uncorrected energy at -100.7 eV/f.u.

# 8
A relaxed structure of MnTlCr2Cl. Source: Alexandria via LeMat-Bulk, functional GGA-PBE.

```
MnTlCr2Cl
1.0
4.533 0.000 0.000
0.000 5.750 0.000
0.000 0.000 4.533
Cr Cl Mn Tl
2 1 1 1
Direct
0.500 0.000 0.000
0.000 0.000 0.500
0.000 0.000 0.000
0.500 0.500 0.500
0.000 0.500 0.000
```

Values from the calculation:
The density of states at the Fermi level is 3.67 states/eV/cell. The space group is P4/mmm. The formation energy without anion corrections is 1.0115 eV/atom. The calculation puts the uncorrected energy at -27.6 eV/f.u.

# 9
A relaxed structure of K2BaCd2O4. Source: Alexandria via LeMat-Bulk, functional GGA-PBE.

```
K2BaCd2O4
1.0
-0.406 0.892 -3.772
3.397 -8.449 -2.364
-6.545 2.580 3.328
O K Ba Cd
4 2 1 2
Direct
0.776 0.889 0.553
0.224 0.111 0.447
0.434 0.732 0.869
0.566 0.268 0.131
0.180 0.572 0.359
0.820 0.428 0.641
0.000 0.000 0.000
0.371 0.120 0.743
0.629 0.880 0.257
```

Values from the calculation:
The space group is C2/m. The formation energy without anion corrections is -1.4388 eV/atom. The calculation puts the uncorrected energy at -38.7 eV/f.u.

# 10
A relaxed structure of KSbAu. Source: Alexandria via LeMat-Bulk, functional GGA-PBE.

```
KSbAu
1.0
-4.904 3.813 2.536
-6.459 1.752 -0.475
-2.015 -2.242 2.577
K Au Sb
1 1 1
Direct
0.329 0.329 0.671
0.062 0.062 0.938
0.608 0.608 0.392
```

Values from the calculation:
The density of states at the Fermi level is 1.64 states/eV/cell. The space group is I4mm. The formation energy without anion corrections is -0.2543 eV/atom. The calculation puts the uncorrected energy at -9.3 eV/f.u. The value obtained for the excess energy over the best structure of this formula in the dataset is 143 meV per atom.

# 11
A relaxed structure of GdScCuOs. Source: Alexandria via LeMat-Bulk, functional GGA-PBE.

```
GdScCuOs
1.0
4.740 0.000 0.000
2.370 4.105 0.000
2.370 1.368 3.871
Os Gd Cu Sc
1 1 1 1
Direct
0.750 0.750 0.750
0.000 0.000 0.000
0.250 0.250 0.250
0.500 0.500 0.500
```

Values from the calculation:
The density of states at the Fermi level is 2.28 states/eV/cell. The space group is F-43m. The calculation puts the uncorrected energy at -36.8 eV/f.u.

# 12
A relaxed structure of PaTiZn4. Source: Alexandria via LeMat-Bulk, functional GGA-PBE.

```
PaTiZn4
1.0
-2.554 1.498 0.505
-1.301 -0.816 -4.157
-3.428 -6.644 2.377
Zn Ti Pa
4 1 1
Direct
0.000 0.500 0.810
0.999 0.000 0.347
0.000 0.500 0.190
0.001 0.000 0.653
0.500 0.500 0.500
0.500 0.000 0.000
```

Values from the calculation:
The density of states at the Fermi level is 6.59 states/eV/cell. The space group is Pmmm. The calculation puts the uncorrected energy at -23.1 eV/f.u. The value obtained for the excess energy over the best structure of this formula in the dataset is 15 meV per atom.